# 1
# CaInSe2

CaInSe2 after structural relaxation (PBEsol, the Alexandria database).

a = 5.0658 Å, b = 5.0882 Å, c = 7.1805 Å
α = 90.00°, β = 90.00°, γ = 90.00°
Space group Immm (No. 71)
One atom of each set of equivalent atoms:
Ca 0.0000 0.0000 0.0000 x2
In 0.0000 0.0000 0.5000 x2
Se 0.0000 0.5000 0.2496 x4

## Properties
Volume   185 Å³/cell
Raw total energy   -4.102 eV/atom


# 2
# Li3W8O24

Li3W8O24 after structural relaxation (PBEsol, the Alexandria database).

a = 7.4475 Å, b = 7.4475 Å, c = 7.4475 Å
α = 90.00°, β = 90.00°, γ = 90.00°
Space group Pm-3 (No. 200)
One atom of each set of equivalent atoms:
Li 0.0000 0.0000 0.5000 x3
W 0.2505 0.2505 0.2505 x8
O 0.0000 0.2933 0.1976 x12
O 0.2101 0.2905 0.5000 x12

## Properties
Volume   413 Å³/cell
Raw total energy   -9.103 eV/atom


# 3
# KLaP2Se6

KLaP2Se6 after structural relaxation (PBEsol, the Alexandria database).

a = 12.3306 Å, b = 7.7955 Å, c = 11.7303 Å
α = 90.00°, β = 109.16°, γ = 90.00°
Space group P2_1/c (No. 14)
One atom of each set of equivalent atoms:
K 0.1268 0.0861 0.3699 x4
La 0.3505 0.6027 0.5966 x4
P 0.2097 0.6170 0.2676 x4
P 0.3250 0.0979 0.7528 x4
Se 0.1109 0.5169 0.3766 x4
Se 0.1265 0.7140 0.0831 x4
Se 0.2124 0.2123 0.1350 x4
Se 0.3310 0.6852 0.8652 x4
Se 0.4118 0.1942 0.9373 x4
Se 0.4496 0.5297 0.1801 x4

## Properties
Volume   1065 Å³/cell
Raw total energy   -4.963 eV/atom


# 4
# SrSeCl2

SrSeCl2 after structural relaxation (PBEsol, the Alexandria database).

a = 10.1691 Å, b = 4.2010 Å, c = 4.9122 Å
α = 90.00°, β = 95.79°, γ = 90.00°
Space group C2/m (No. 12)
One atom of each set of equivalent atoms:
Sr 0.0000 0.0000 0.0000 x2
Se 0.0000 0.5000 0.5000 x2
Cl 0.1871 0.5000 0.2215 x4

## Properties
Volume   209 Å³/cell
Raw total energy   -3.924 eV/atom


# 5
# Ca3Cr3N5

Ca3Cr3N5 after structural relaxation (PBEsol, the Alexandria database).

a = 5.5363 Å, b = 6.7929 Å, c = 8.2218 Å
α = 108.36°, β = 104.58°, γ = 95.04°
Space group P-1 (No. 2)
One atom of each set of equivalent atoms:
Ca 0.1527 0.1675 0.2020 x2
Ca 0.1667 0.3716 0.8854 x2
Ca 0.3197 0.9276 0.6162 x2
Cr 0.1997 0.4562 0.5698 x2
Cr 0.3854 0.6205 0.3006 x2
Cr 0.4060 0.8246 0.9673 x2
N 0.1106 0.5660 0.3789 x2
N 0.2536 0.0378 0.9089 x2
N 0.3012 0.7289 0.1250 x2
N 0.3354 0.2139 0.5072 x2
N 0.4577 0.6091 0.7872 x2

## Properties
Volume   279 Å³/cell
Raw total energy   -8.175 eV/atom


# 6
# Ba2BiSb2

Ba2BiSb2 after structural relaxation (PBEsol, the Alexandria database).

a = 8.3911 Å, b = 8.3911 Å, c = 5.0372 Å
α = 90.00°, β = 90.00°, γ = 90.00°
Space group P4/mbm (No. 127)
One atom of each set of equivalent atoms:
Ba 0.1764 0.3236 0.0000 x4
Bi 0.0000 0.0000 0.5000 x2
Sb 0.1251 0.6251 0.5000 x4

## Properties
Volume   355 Å³/cell
Raw total energy   -4.356 eV/atom


# 7
# TlCuIr2

TlCuIr2 after structural relaxation (PBEsol, the Alexandria database).

a = 2.8649 Å, b = 4.8403 Å, c = 9.0303 Å
α = 90.00°, β = 90.00°, γ = 90.00°
Space group Cmmm (No. 65)
One atom of each set of equivalent atoms:
Tl 0.0000 0.0000 0.0000 x2
Cu 0.0000 0.0000 0.5000 x2
Ir 0.0000 0.5000 0.2723 x4

## Properties
Volume   125 Å³/cell
Raw total energy   -6.041 eV/atom


# 8
# Te2RhW

Te2RhW after structural relaxation (PBEsol, the Alexandria database).

a = 6.4101 Å, b = 8.7642 Å, c = 2.8716 Å
α = 90.00°, β = 90.00°, γ = 90.00°
Space group Cmmm (No. 65)
One atom of each set of equivalent atoms:
Te 0.2500 0.2500 0.0000 x4
Rh 0.0000 0.0000 0.0000 x2
W 0.0000 0.5000 0.0000 x2

## Properties
Volume   161 Å³/cell
Raw total energy   -6.533 eV/atom


# 9
# Cd2HgPb

Cd2HgPb after structural relaxation (PBEsol, the Alexandria database).

a = 4.5246 Å, b = 4.5246 Å, c = 9.2461 Å
α = 90.00°, β = 90.00°, γ = 90.00°
Space group I-4m2 (No. 119)
One atom of each set of equivalent atoms:
Cd 0.0000 0.0000 0.0000 x2
Cd 0.0000 0.5000 0.2500 x2
Hg 0.0000 0.0000 0.5000 x2
Pb 0.0000 0.5000 0.7500 x2

## Properties
Volume   189 Å³/cell
Raw total energy   -1.691 eV/atom


# 10
# Ba2ZnIr

Ba2ZnIr after structural relaxation (PBEsol, the Alexandria database).

a = 4.4128 Å, b = 4.4175 Å, c = 14.6080 Å
α = 90.00°, β = 90.00°, γ = 90.00°
Space group Imm2 (No. 44)
One atom of each set of equivalent atoms:
Ba 0.0000 0.0000 0.0000 x2
Ba 0.0000 0.5000 0.2590 x2
Zn 0.0000 0.5000 0.8338 x2
Ir 0.0000 0.0000 0.4076 x2

## Properties
Volume   285 Å³/cell
Raw total energy   -3.976 eV/atom


# 11
# Y3GaC

Y3GaC after structural relaxation (PBEsol, the Alexandria database).

a = 4.8055 Å, b = 4.8055 Å, c = 4.8055 Å
α = 90.00°, β = 90.00°, γ = 90.00°
Space group Pm-3m (No. 221)
One atom of each set of equivalent atoms:
Y 0.0000 0.0000 0.5000 x3
Ga 0.5000 0.5000 0.5000 x1
C 0.0000 0.0000 0.0000 x1

## Properties
Volume   111 Å³/cell
Raw total energy   -7.210 eV/atom


# 12
# CrTcW2

CrTcW2 after structural relaxation (PBEsol, the Alexandria database).

a = 3.0641 Å, b = 4.2833 Å, c = 4.3541 Å
α = 90.00°, β = 90.00°, γ = 90.00°
Space group Pmmm (No. 47)
One atom of each set of equivalent atoms:
Cr 0.0000 0.0000 0.0000 x1
Tc 0.5000 0.0000 0.5000 x1
W 0.0000 0.5000 0.5000 x1
W 0.5000 0.5000 0.0000 x1

## Properties
Volume   57 Å³/cell
Raw total energy   -12.177 eV/atom